[1]
ZnSb2O4 | PBE-GGA | optimized geometry

Structure (POSCAR):
```
ZnSb2O4
1.0
-0.711 8.376 2.114
-8.036 -1.420 2.923
2.222 -1.206 5.524
Sb Zn O
8 4 16
Cartesian
-7.187 5.838 4.166
-5.700 1.850 2.697
-0.790 6.037 4.976
-1.817 1.604 4.422
-1.559 1.119 0.872
-3.047 5.107 2.341
-4.708 4.147 6.140
-5.735 -0.286 5.585
0.200 3.887 2.438
-3.462 -1.011 2.843
1.311 3.284 5.201
-2.351 -1.614 5.605
-5.049 0.251 3.756
-4.660 6.078 6.543
-5.396 3.641 7.977
-1.129 2.109 2.585
-5.388 6.376 3.559
-3.359 0.581 1.478
-6.507 4.244 5.215
-6.103 1.573 6.139
-1.475 5.500 6.805
-3.938 -0.352 6.519
-7.536 1.746 3.413
-0.018 1.506 5.347
-1.864 -0.328 4.019
-0.421 4.178 4.422
-1.210 5.211 1.625
-2.586 6.103 4.043
```

Results
The total energy comes out at -5.5420 eV per atom. The total magnetization is 0.00 μB per formula unit. The excess energy over the best structure of this formula in the dataset comes out at 0 meV/atom.

---

[2]
ZnSb2O6 | PBE-GGA | optimized geometry

Structure (POSCAR):
```
ZnSb2O6
1.0
-5.068 1.163 0.329
-1.221 -4.500 -2.905
-0.504 -4.013 6.427
Zn Sb O
2 4 12
Cartesian
-3.318 -2.806 2.474
-0.984 -3.051 -1.982
-3.854 -5.814 2.778
-0.445 -2.091 0.884
-3.604 -3.824 -0.408
-0.699 -4.114 4.124
-4.239 -2.758 -2.054
-2.442 -5.082 3.995
-4.854 -0.326 -0.584
-4.974 -4.189 3.093
-3.883 -2.229 4.434
-2.484 -7.283 2.586
-2.119 -2.512 -0.122
-4.793 -2.746 0.783
-2.164 -4.741 -1.485
-3.057 -4.703 1.310
-3.698 -0.758 2.078
-1.272 -2.822 2.625
```

Results
The total energy comes out at -5.6677 eV per atom. The total magnetization is 0.00 μB per formula unit.

---

[3]
ZnSb2O4 | PBE-GGA | optimized geometry

Structure (POSCAR):
```
ZnSb2O4
1.0
5.533 -3.397 -0.003
5.533 3.397 -0.003
3.451 0.000 5.500
Zn O Sb
2 8 4
Cartesian
9.084 0.000 3.438
0.090 0.000 0.034
11.048 0.000 2.150
5.152 0.000 1.950
8.339 1.504 2.228
7.417 0.000 4.663
8.339 -1.504 2.228
10.040 -1.645 4.815
12.587 0.000 4.763
10.040 1.645 4.815
6.265 1.686 3.412
3.288 0.000 1.244
7.299 0.000 0.681
6.265 -1.686 3.412
```

Results
The total energy comes out at -5.2366 eV per atom. The total magnetization is 0.00 μB per formula unit. The excess energy over the best structure of this formula in the dataset comes out at 305 meV/atom.

---

[4]
ZnSb4O8 | PBE-GGA | optimized geometry

Structure (POSCAR):
```
ZnSb4O8
1.0
1.602 6.994 -0.142
-1.602 6.994 -0.142
0.000 6.661 9.933
O Sb Zn
8 4 1
Cartesian
0.000 8.783 2.803
0.000 7.239 5.247
0.000 11.504 -0.072
0.000 4.167 2.573
0.000 13.547 3.133
0.000 2.392 0.591
0.000 11.584 4.894
0.000 16.202 7.921
0.000 5.500 4.192
0.000 15.427 4.162
0.000 10.199 1.401
0.000 10.516 8.497
0.000 14.083 8.070
```

Results
The total energy comes out at -5.4789 eV per atom. The total magnetization is 0.00 μB per formula unit. The excess energy over the best structure of this formula in the dataset comes out at 213 meV/atom.

---

[5]
ZnSb2O4 | PBE-GGA | optimized geometry

Structure (POSCAR):
```
ZnSb2O4
1.0
4.331 0.000 0.000
0.000 9.104 0.000
0.000 0.000 12.024
Sb O Zn
8 16 4
Cartesian
0.080 3.238 4.667
4.251 7.790 1.345
4.251 5.867 10.679
0.080 1.314 7.357
0.080 3.238 1.345
4.251 7.790 4.667
4.251 5.867 7.357
0.080 1.314 10.679
3.239 0.361 1.367
1.129 2.124 9.018
1.092 4.913 1.367
3.202 6.981 3.006
1.180 2.276 0.000
1.129 2.428 3.006
1.180 2.276 6.012
1.092 8.744 10.657
1.092 8.744 7.379
3.239 0.361 4.645
3.151 6.828 0.000
1.092 4.913 4.645
3.151 6.828 6.012
3.202 6.676 9.018
3.239 4.191 10.657
3.239 4.191 7.379
2.476 1.006 3.006
1.855 5.558 3.006
1.855 8.099 9.018
2.476 3.547 9.018
```

Results
The total energy comes out at -5.3560 eV per atom. The total magnetization is 0.00 μB per formula unit. The excess energy over the best structure of this formula in the dataset comes out at 186 meV/atom.

---

[6]
ZnSb4O8 | PBE-GGA | optimized geometry

Structure (POSCAR):
```
ZnSb4O8
1.0
-1.020 2.897 5.558
-3.927 -3.114 3.899
2.862 -2.752 4.956
Zn O Sb
1 8 4
Cartesian
-1.042 -1.485 7.207
-2.335 -2.190 5.491
-0.559 -0.796 3.862
0.775 -2.024 5.975
-1.526 -2.174 10.552
0.250 -0.779 8.922
-1.003 0.564 6.251
-2.860 -0.945 8.438
-1.082 -3.533 8.162
0.000 0.000 0.000
-2.473 -0.109 4.729
-0.533 -2.933 4.428
0.921 0.072 5.257
```

Results
The total energy comes out at -5.3230 eV per atom. The total magnetization is 0.00 μB per formula unit. The excess energy over the best structure of this formula in the dataset comes out at 368 meV/atom.

---

[7]
Zn7Sb2O12 | PBE-GGA | optimized geometry

Structure (POSCAR):
```
Zn7Sb2O12
1.0
6.188 -0.016 -0.006
-0.015 6.188 -0.006
2.820 2.820 13.022
O Zn Sb
24 14 4
Cartesian
6.196 2.908 2.241
6.079 6.039 10.781
7.662 7.594 8.787
4.363 4.323 8.742
4.318 7.606 8.752
1.497 1.533 0.148
2.796 6.084 10.771
2.972 5.822 6.589
2.914 2.953 2.230
4.580 7.430 12.934
4.675 1.386 4.260
1.331 1.398 4.224
7.767 4.313 8.647
6.185 6.251 2.276
6.050 6.085 6.352
2.903 6.357 2.135
6.020 3.170 6.423
2.942 2.907 6.659
4.629 4.669 4.270
4.412 1.562 0.078
2.808 2.741 10.735
6.089 2.635 10.876
7.495 7.460 12.864
1.225 4.679 4.365
3.044 1.254 5.517
3.086 3.086 -0.006
5.979 3.044 4.401
3.014 5.948 8.610
4.454 7.388 10.912
2.664 4.454 12.028
5.949 7.738 7.494
6.100 4.302 9.761
6.329 4.538 0.983
4.496 4.496 6.506
4.539 1.604 2.099
1.402 4.504 6.508
3.094 -0.008 -0.003
2.892 4.690 3.250
1.481 1.563 2.142
6.019 6.101 4.358
2.973 2.891 8.653
7.512 7.429 10.869
```

Results
The total energy comes out at -5.0694 eV per atom. The total magnetization is 0.00 μB per formula unit. The excess energy over the best structure of this formula in the dataset comes out at 0 meV/atom.

---

[8]
ZnSbO2 | PBE-GGA | optimized geometry

Structure (POSCAR):
```
ZnSbO2
1.0
-2.611 -0.768 5.931
-2.666 -3.676 4.686
-0.010 -2.568 5.999
O Sb Zn
2 1 1
Cartesian
-0.578 -0.767 1.817
-4.708 -6.245 14.799
0.000 0.000 0.000
-2.643 -3.506 8.308
```

Results
The total energy comes out at -4.8083 eV per atom. The total magnetization is 0.00 μB per formula unit. The excess energy over the best structure of this formula in the dataset comes out at 0 meV/atom.

---

no.,formation energy from raw total energies (eV per atom)
1,-1.349
2,-1.305
3,-1.044
4,-1.061
5,-1.163
6,-0.905
7,-1.419
8,-0.980